TiCr2Pb2 PBE relaxed; energy of formation from the pure elements = 0.672 eV per atom
1.0
7.574 0.000 0.000
0.000 7.574 0.000
0.000 0.000 3.241
Ti Cr Pb
2 4 4
Cartesian
0.000 0.000 0.000 Ti
3.787 3.787 0.000 Ti
0.740 3.047 0.000 Cr
3.047 6.834 0.000 Cr
4.527 0.740 0.000 Cr
6.834 4.527 0.000 Cr
1.447 5.234 1.621 Pb
2.340 1.447 1.621 Pb
5.234 6.127 1.621 Pb
6.127 2.340 1.621 Pb

***

TiCrPb2 PBE relaxed; energy of formation from the pure elements = 0.610 eV per atom
1.0
0.000 3.393 3.393
3.393 0.000 3.393
3.393 3.393 0.000
Ti Cr Pb
1 1 2
Cartesian
0.000 0.000 0.000 Ti
3.393 3.393 3.393 Cr
1.697 1.697 1.697 Pb
5.090 5.090 5.090 Pb

***

TiCr2Pb PBE relaxed; energy of formation from the pure elements = 0.851 eV per atom
1.0
-1.967 1.967 9.237
1.967 -1.967 9.237
1.967 1.967 -9.237
Ti Cr Pb
2 4 2
Cartesian
0.000 0.000 0.000 Ti
0.000 1.967 4.618 Ti
2.951 0.629 -2.309 Cr
0.629 0.984 2.309 Cr
-0.984 1.338 6.928 Cr
1.338 0.984 11.546 Cr
1.967 0.000 4.618 Pb
0.000 0.000 9.237 Pb

***

TiCrPb3 PBE relaxed; energy of formation from the pure elements = 0.700 eV per atom
1.0
5.401 0.000 0.000
0.000 5.401 0.000
0.000 0.000 5.401
Ti Cr Pb
1 1 3
Cartesian
0.000 0.000 0.000 Ti
2.700 2.700 2.700 Cr
0.000 0.000 2.700 Pb
0.000 2.700 0.000 Pb
2.700 0.000 0.000 Pb

***

Tl2Cr2Pb PBE relaxed; energy of formation from the pure elements = 0.716 eV per atom
1.0
8.106 0.000 0.000
0.000 8.106 0.000
0.000 0.000 3.319
Tl Cr Pb
4 4 2
Cartesian
1.621 2.432 0.000 Tl
2.432 6.485 0.000 Tl
5.674 1.621 0.000 Tl
6.485 5.674 0.000 Tl
0.660 4.713 1.660 Cr
3.393 0.660 1.660 Cr
4.713 7.446 1.660 Cr
7.446 3.393 1.660 Cr
0.000 0.000 1.660 Pb
4.053 4.053 1.660 Pb

***

TlCrPb3 PBE relaxed; energy of formation from the pure elements = 0.371 eV per atom
1.0
5.267 0.000 0.000
0.000 5.267 0.000
0.000 0.000 5.267
Tl Cr Pb
1 1 3
Cartesian
0.000 0.000 0.000 Tl
2.633 2.633 2.633 Cr
0.000 2.633 2.633 Pb
2.633 0.000 2.633 Pb
2.633 2.633 0.000 Pb

***

Tl2Cr2Pb PBE relaxed; energy of formation from the pure elements = 0.757 eV per atom
1.0
-2.306 2.306 5.444
2.306 -2.306 5.444
2.306 2.306 -5.444
Tl Cr Pb
2 2 1
Cartesian
2.306 0.000 2.722 Tl
0.000 2.306 2.722 Tl
0.000 0.000 0.883 Cr
0.000 0.000 10.006 Cr
0.000 0.000 5.444 Pb

***

TlCrPb2W PBE relaxed; energy of formation from the pure elements = 0.869 eV per atom
1.0
5.460 0.000 0.000
0.000 5.460 0.000
0.000 0.000 4.903
Tl Cr Pb W
1 1 2 1
Cartesian
0.000 0.000 0.000 Tl
2.730 2.730 0.000 Cr
0.000 2.730 2.452 Pb
2.730 0.000 2.452 Pb
2.730 2.730 2.452 W

***

no.,total DFT energy (no corrections) (eV per atom),density of states at the Fermi level (states/eV per cell)
1,-6.24,10.87
2,-5.62,3.32
3,-6.86,9.14
4,-5.03,4.12
5,-4.82,10.65
6,-4.25,5.69
7,-4.78,3.24
8,-5.60,2.82